1.
Density functional theory data (PBE) for a geometry-optimized Pr4ZnRh4 structure.

- DFT formation energy (meV/atom) = -529

a = 8.6453 Å, b = 8.6453 Å, c = 5.7118 Å
α = 90.00°, β = 90.00°, γ = 90.00°
Closest atoms and distances in Å follow each position.
Element x y z (fractional)
Pr: 0.0402 0.6845 0.1119  4 Rh 2.87-3.19
Pr: 0.1845 0.9598 0.6119  4 Rh 2.87-3.19
Pr: 0.3155 0.5402 0.6119  4 Rh 2.87-3.19
Pr: 0.4598 0.8155 0.1119  4 Rh 2.87-3.19
Pr: 0.5402 0.1845 0.8881  4 Rh 2.87-3.19
Pr: 0.6845 0.4598 0.3881  4 Rh 2.87-3.19
Pr: 0.8155 0.0402 0.3881  4 Rh 2.87-3.19
Pr: 0.9598 0.3155 0.8881  4 Rh 2.87-3.19
Zn: 0.2500 0.2500 0.2500  4 Rh 2.49
Zn: 0.7500 0.7500 0.7500  4 Rh 2.49
Rh: 0.0006 0.3600 0.3912  1 Zn 2.49, 1 Rh 2.72
Rh: 0.1400 0.0006 0.1088  1 Zn 2.49, 1 Rh 2.72
Rh: 0.3600 0.4994 0.1088  1 Zn 2.49, 1 Rh 2.72
Rh: 0.4994 0.1400 0.3912  1 Zn 2.49, 1 Rh 2.72
Rh: 0.5006 0.8600 0.6088  1 Zn 2.49, 1 Rh 2.72
Rh: 0.6400 0.5006 0.8912  1 Zn 2.49, 1 Rh 2.72
Rh: 0.8600 0.9994 0.8912  1 Zn 2.49, 1 Rh 2.72
Rh: 0.9994 0.6400 0.6088  1 Zn 2.49, 1 Rh 2.72

2.
Density functional theory data (PBE) for a geometry-optimized PrZr2Rh structure.

- DFT formation energy (meV/atom) = -264

a = 3.3814 Å, b = 3.3814 Å, c = 7.9858 Å
α = 90.00°, β = 90.00°, γ = 90.00°
Closest atoms and distances in Å follow each position.
Element x y z (fractional)
Pr: 0.0000 0.0000 0.0000  4 Pr 3.38, 8 Zr 3.41
Zr: 0.5000 0.5000 0.3050  4 Rh 2.85, 1 Zr 3.11
Zr: 0.5000 0.5000 0.6950  4 Rh 2.85, 1 Zr 3.11
Rh: 0.0000 0.0000 0.5000  8 Zr 2.85

> The lowest DFT formation energy belongs to which entry?

Pr4ZnRh4

> What is the DFT formation energy in the first record?

-529 meV/atom

> Which of these has the highest DFT formation energy?

PrZr2Rh

> What is the DFT formation energy in the second record?

-264 meV/atom